This record from Alexandria describes crystalline Er2Th2Co3 at its relaxed geometry. The functional is PBE.

It has space group P-1 (No. 2), with a = 3.8821 Å, b = 6.6750 Å, c = 6.7332 Å, α = 80.85°, β = 89.98° and γ = 73.11°. The distinct sites, in fractional coordinates, are Er at (0.1297, 0.2384, 0.3662), Th at (0.3709, 0.7569, 0.1152), Co at (0.0000, 0.5000, 0.0000) and Co at (0.2425, 0.0172, 0.7418).

As for the density: 9.84 Mg/m³. The energy relative to the elements comes out at -0.186 eV/atom. As for the density of states at the Fermi level: 4.82 states/eV/cell.